(1)
KScHgTe3 | the Open Quantum Materials Database | PBE-GGA | relaxed; magnetic moment = 0.00 μB/f.u.; relative energy among the computed polymorphs = 0.004 eV per atom
1.0
-0.862 7.213 -3.971
-0.592 -4.411 6.981
10.869 2.769 2.671
Te Hg K Sc
6 2 2 2
direct
0.626 0.374 0.036
0.926 0.074 0.250
0.074 0.926 0.750
0.626 0.374 0.464
0.374 0.626 0.964
0.374 0.626 0.536
0.545 0.455 0.250
0.455 0.545 0.750
0.240 0.760 0.250
0.760 0.240 0.750
0.000 0.000 0.500
0.000 0.000 0.000

(2)
KScHgTe3 | the Open Quantum Materials Database | PBE-GGA | relaxed; magnetic moment = 0.01 μB/f.u.; relative energy among the computed polymorphs = 0.057 eV per atom
1.0
-8.489 5.641 -1.383
-7.251 4.915 -5.392
-3.779 -8.912 0.447
Hg K Sc Te
2 2 2 6
direct
0.471 0.471 0.280
0.529 0.529 0.720
0.856 0.856 0.933
0.144 0.144 0.067
0.181 0.181 0.578
0.819 0.819 0.422
0.327 0.327 0.632
0.500 0.500 0.000
0.000 0.000 0.500
0.324 0.324 0.216
0.673 0.673 0.368
0.676 0.676 0.784

(3)
KScHgTe3 | the Open Quantum Materials Database | PBE-GGA | relaxed; magnetic moment = 0.00 μB/f.u.; relative energy among the computed polymorphs = 0.000 eV per atom
1.0
-1.563 -11.434 10.917
4.254 -0.967 -0.403
2.552 7.708 8.438
K Te Hg Sc
4 12 4 4
direct
0.230 0.250 0.558
0.730 0.250 0.942
0.270 0.750 0.058
0.770 0.750 0.442
0.906 0.750 0.924
0.363 0.250 0.275
0.863 0.250 0.225
0.406 0.750 0.576
0.137 0.750 0.775
0.599 0.750 0.136
0.094 0.250 0.076
0.637 0.750 0.725
0.901 0.250 0.636
0.099 0.750 0.364
0.594 0.250 0.424
0.401 0.250 0.864
0.518 0.750 0.901
0.982 0.250 0.401
0.018 0.750 0.599
0.482 0.250 0.099
0.518 0.250 0.648
0.482 0.750 0.352
0.018 0.250 0.852
0.982 0.750 0.148

(4)
KScHgTe3 | the Open Quantum Materials Database | PBE-GGA | relaxed; magnetic moment = 0.00 μB/f.u.; relative energy among the computed polymorphs = 0.004 eV per atom
1.0
11.574 0.000 0.000
0.000 4.353 0.000
0.000 0.000 16.052
Sc K Te Hg
4 4 12 4
direct
0.487 0.250 0.745
0.987 0.250 0.755
0.513 0.750 0.255
0.013 0.750 0.245
0.268 0.750 0.012
0.232 0.250 0.512
0.732 0.250 0.988
0.768 0.750 0.488
0.022 0.750 0.630
0.978 0.250 0.370
0.522 0.750 0.870
0.946 0.750 0.880
0.446 0.750 0.620
0.232 0.250 0.826
0.554 0.250 0.380
0.054 0.250 0.120
0.732 0.250 0.674
0.268 0.750 0.326
0.478 0.250 0.130
0.768 0.750 0.174
0.739 0.750 0.791
0.261 0.250 0.209
0.239 0.750 0.709
0.761 0.250 0.291

(5)
K2Hg2Se3 | the Open Quantum Materials Database | PBE-GGA | relaxed; relative energy among the computed polymorphs = 0.146 eV per atom
1.0
16.354 0.000 0.000
0.000 5.612 0.000
0.000 0.000 10.517
Se Hg K
12 8 8
direct
0.919 0.250 0.592
0.872 0.965 0.157
0.419 0.250 0.908
0.628 0.465 0.657
0.128 0.465 0.843
0.372 0.535 0.343
0.081 0.750 0.408
0.628 0.035 0.657
0.872 0.535 0.157
0.372 0.965 0.343
0.128 0.035 0.843
0.581 0.750 0.092
0.566 0.750 0.854
0.934 0.250 0.354
0.706 0.250 0.336
0.434 0.250 0.146
0.294 0.750 0.664
0.206 0.250 0.164
0.794 0.750 0.836
0.066 0.750 0.646
0.561 0.750 0.387
0.335 0.750 0.001
0.665 0.250 0.999
0.165 0.250 0.501
0.061 0.750 0.113
0.939 0.250 0.887
0.835 0.750 0.499
0.439 0.250 0.613

(6)
K2Hg2Se3 | the Open Quantum Materials Database | PBE-GGA | relaxed; relative energy among the computed polymorphs = 0.259 eV per atom
1.0
-2.536 6.427 2.385
-0.632 2.588 6.806
3.486 5.518 3.290
Se Hg K
3 2 2
direct
0.000 0.000 0.500
0.500 0.000 0.000
0.000 0.500 0.000
0.687 0.687 0.687
0.313 0.313 0.313
0.500 0.500 0.500
0.000 0.000 0.000

(7)
K2Hg2Se3 | the Open Quantum Materials Database | PBE-GGA | relaxed; relative energy among the computed polymorphs = 0.000 eV per atom
1.0
-0.850 -6.602 6.460
-4.478 7.635 2.775
-3.652 -2.997 -7.983
Se K Hg
6 4 4
direct
0.166 0.750 0.916
0.334 0.250 0.584
0.584 0.334 0.250
0.250 0.584 0.334
0.916 0.166 0.750
0.750 0.916 0.166
0.000 0.486 0.500
0.500 0.000 0.486
0.014 0.014 0.014
0.486 0.500 0.000
0.500 0.000 0.110
0.000 0.110 0.500
0.110 0.500 0.000
0.390 0.390 0.390

(8)
A plane-wave DFT calculation with PBE-GGA was carried out for an optimized crystal structure of KSnHg3Se4.

```
KSnHg3Se4
1.0
6.948 0.000 0.000
0.000 6.948 0.000
0.000 0.000 6.948
Hg Se Sn K
3 4 1 1
direct
0.500 0.000 0.500
0.500 0.500 0.000
0.000 0.500 0.500
0.270 0.730 0.730
0.730 0.270 0.730
0.730 0.730 0.270
0.270 0.270 0.270
0.500 0.500 0.500
0.000 0.000 0.000
```

(9)
K2SnHgTe2Se2 | the Open Quantum Materials Database | PBE-GGA | relaxed; relative energy among the computed polymorphs = 0.004 eV per atom
1.0
-3.931 0.756 -5.808
-5.475 -4.376 0.798
1.098 5.591 4.600
K Se Te Sn Hg
2 2 2 1 1
direct
0.506 0.494 0.500
0.500 0.500 0.000
0.994 0.336 0.895
0.664 0.006 0.105
0.355 0.004 0.442
0.996 0.645 0.558
0.991 0.009 0.500
0.995 0.005 0.000

(10)
K2SnHgTe2Se2 | the Open Quantum Materials Database | PBE-GGA | relaxed; relative energy among the computed polymorphs = 0.000 eV per atom
1.0
0.000 6.084 3.671
5.980 0.000 3.671
5.980 6.084 0.000
Hg Se Te K Sn
1 2 2 2 1
direct
0.006 0.006 0.994
0.102 0.435 0.565
0.435 0.102 0.898
0.558 0.916 0.442
0.916 0.558 0.084
0.998 0.998 0.502
0.498 0.498 0.002
0.488 0.488 0.512

(11)
KTbHg3Se4 | the Open Quantum Materials Database | PBE-GGA | relaxed; magnetic moment = 0.00 μB/f.u.
1.0
6.543 0.000 0.000
0.000 7.958 0.000
-3.078 0.000 11.844
Hg Se K Tb
6 8 2 2
direct
0.817 0.750 0.330
0.183 0.250 0.670
0.835 0.472 0.051
0.165 0.528 0.949
0.835 0.028 0.051
0.165 0.972 0.949
0.992 0.977 0.720
0.502 0.250 0.591
0.008 0.477 0.280
0.516 0.250 0.953
0.484 0.750 0.047
0.008 0.023 0.280
0.498 0.750 0.409
0.992 0.523 0.720
0.415 0.750 0.659
0.585 0.250 0.341
0.212 0.750 0.206
0.788 0.250 0.794

(12)
KTbHg3Se4 | the Open Quantum Materials Database | PBE-GGA | relaxed; magnetic moment = 0.00 μB/f.u.
1.0
6.956 0.000 0.000
0.000 6.956 0.000
0.000 0.000 6.956
Se Hg K Tb
4 3 1 1
direct
0.726 0.274 0.726
0.274 0.726 0.726
0.274 0.274 0.274
0.726 0.726 0.274
0.500 0.500 0.000
0.500 0.000 0.500
0.000 0.500 0.500
0.000 0.000 0.000
0.500 0.500 0.500

Values of E, in order: -3.7049 -3.6517 -3.7089 -3.7045 -2.3698 -2.2567 -2.5154 -2.4534 -3.1042 -3.1078 -2.9743 -2.9734, all in eV per atom.